one.
## CaAuC2 (PBE)

Data for a relaxed structure of CaAuC2.

abc: 5.2049 5.2049 10.3886
angles: 90.00 90.00 90.00
With the nearest neighbours (Å) after each atom.
Atoms (fractional coordinates):
Ca  0.0000  0.0000  0.0000  4 C 2.49
Ca  0.0000  0.5000  0.2500  4 C 2.49
Ca  0.5000  0.0000  0.7500  4 C 2.49
Ca  0.5000  0.5000  0.5000  4 C 2.49
Au  0.0000  0.0000  0.5000  4 C 2.06
Au  0.0000  0.5000  0.7500  4 C 2.06
Au  0.5000  0.0000  0.2500  4 C 2.06
Au  0.5000  0.5000  0.0000  4 C 2.06
C  0.1782  0.2500  0.6250  2 Au 2.06
C  0.2500  0.6782  0.8750  2 Au 2.06
C  0.2500  0.8218  0.3750  2 Au 2.06
C  0.3218  0.2500  0.1250  2 Au 2.06
C  0.6782  0.7500  0.1250  2 Au 2.06
C  0.7500  0.1782  0.3750  2 Au 2.06
C  0.7500  0.3218  0.8750  2 Au 2.06
C  0.8218  0.7500  0.6250  2 Au 2.06

two.
## CaAuC2 (PBE)

Data for a relaxed structure of CaAuC2.

abc: 5.9941 5.9941 5.9941
angles: 90.00 90.00 90.00
With the nearest neighbours (Å) after each atom.
Atoms (fractional coordinates):
Ca  0.0000  0.0000  0.0000  8 C 2.60
Ca  0.0000  0.5000  0.5000  8 C 2.60
Ca  0.5000  0.0000  0.5000  8 C 2.60
Ca  0.5000  0.5000  0.0000  8 C 2.60
Au  0.0000  0.0000  0.5000  8 C 2.60
Au  0.0000  0.5000  0.0000  8 C 2.60
Au  0.5000  0.0000  0.0000  8 C 2.60
Au  0.5000  0.5000  0.5000  8 C 2.60
C  0.2500  0.2500  0.2500  4 Ca 2.60, 4 Au 2.60
C  0.2500  0.2500  0.7500  4 Ca 2.60, 4 Au 2.60
C  0.2500  0.7500  0.2500  4 Ca 2.60, 4 Au 2.60
C  0.2500  0.7500  0.7500  4 Ca 2.60, 4 Au 2.60
C  0.7500  0.2500  0.2500  4 Ca 2.60, 4 Au 2.60
C  0.7500  0.2500  0.7500  4 Ca 2.60, 4 Au 2.60
C  0.7500  0.7500  0.2500  4 Ca 2.60, 4 Au 2.60
C  0.7500  0.7500  0.7500  4 Ca 2.60, 4 Au 2.60

The structure with the least stability is two.

one.
## CdAu3C (PBE)

Data for a relaxed structure of CdAu3C.

abc: 5.2058 5.2058 5.2058
angles: 90.00 90.00 90.00
With the nearest neighbours (Å) after each atom.
Atoms (fractional coordinates):
Cd  0.0000  0.0000  0.0000  6 Au 2.60
Au  0.0000  0.0000  0.5000  2 Cd 2.60
Au  0.0000  0.5000  0.0000  2 Cd 2.60
Au  0.5000  0.0000  0.0000  2 Cd 2.60
C  0.5000  0.5000  0.5000  12 Au 3.68

two.
## CdAu3C (PBE)

Data for a relaxed structure of CdAu3C.

abc: 4.4177 4.4177 4.4177
angles: 90.00 90.00 90.00
With the nearest neighbours (Å) after each atom.
Atoms (fractional coordinates):
Cd  0.0000  0.0000  0.0000  12 Au 3.12
Au  0.0000  0.5000  0.5000  2 C 2.21
Au  0.5000  0.0000  0.5000  2 C 2.21
Au  0.5000  0.5000  0.0000  2 C 2.21
C  0.5000  0.5000  0.5000  6 Au 2.21

The structure with the least stability is one.

one.
## Cd2SnAuC (PBE)

Data for a relaxed structure of Cd2SnAuC.

abc: 5.6437 5.6437 3.8136
angles: 90.00 90.00 90.00
With the nearest neighbours (Å) after each atom.
Atoms (fractional coordinates):
Cd  0.0000  0.5000  0.0000  2 Au 2.82
Cd  0.5000  0.0000  0.0000  2 Au 2.82
Sn  0.0000  0.0000  0.5000  8 Cd 3.41, 2 Sn 3.81
Au  0.5000  0.5000  0.0000  2 C 1.91
C  0.5000  0.5000  0.5000  2 Au 1.91

two.
## Cd2SnAuC (PBE)

Data for a relaxed structure of Cd2SnAuC.

abc: 5.0700 5.0700 4.0943
angles: 90.00 90.00 90.00
With the nearest neighbours (Å) after each atom.
Atoms (fractional coordinates):
Cd  0.0000  0.5000  0.0000  2 C 2.54
Cd  0.5000  0.0000  0.0000  2 C 2.54
Sn  0.0000  0.0000  0.5000  8 Cd 3.26, 4 Au 3.59
Au  0.5000  0.5000  0.5000  2 C 2.05
C  0.5000  0.5000  0.0000  2 Au 2.05

The structure with the least stability is one.

one.
## Ce4Au2C (PBE)

Data for a relaxed structure of Ce4Au2C.

abc: 7.6427 12.6657 3.6464
angles: 90.00 90.00 90.00
With the nearest neighbours (Å) after each atom.
Atoms (fractional coordinates):
Ce  0.1101  0.1819  0.0000  1 C 2.45
Ce  0.2157  0.9522  0.5000  2 C 2.53
Ce  0.2843  0.4522  0.5000  2 C 2.53
Ce  0.3899  0.6819  0.0000  1 C 2.45
Ce  0.6101  0.3181  0.0000  1 C 2.45
Ce  0.7157  0.5478  0.5000  2 C 2.53
Ce  0.7843  0.0478  0.5000  2 C 2.53
Ce  0.8899  0.8181  0.0000  1 C 2.45
Au  0.0741  0.6626  0.5000  6 Ce 3.03-3.11
Au  0.4259  0.1626  0.5000  6 Ce 3.03-3.11
Au  0.5741  0.8374  0.5000  6 Ce 3.03-3.11
Au  0.9259  0.3374  0.5000  6 Ce 3.03-3.11
C  0.0000  0.0000  0.0000  6 Ce 2.45-2.53
C  0.5000  0.5000  0.0000  6 Ce 2.45-2.53

two.
## Ce4Au2C (PBE)

Data for a relaxed structure of Ce4Au2C.

abc: 4.9239 4.9239 14.8137
angles: 90.00 90.00 90.00
With the nearest neighbours (Å) after each atom.
Atoms (fractional coordinates):
Ce  0.0000  0.0000  0.1712  1 C 2.54
Ce  0.0000  0.0000  0.8288  1 C 2.54
Ce  0.0000  0.5000  0.0000  2 C 2.46
Ce  0.0000  0.5000  0.5000  2 C 2.46
Ce  0.5000  0.0000  0.0000  2 C 2.46
Ce  0.5000  0.0000  0.5000  2 C 2.46
Ce  0.5000  0.5000  0.3288  1 C 2.54
Ce  0.5000  0.5000  0.6712  1 C 2.54
Au  0.0000  0.0000  0.3661  5 Ce 2.89-3.16
Au  0.0000  0.0000  0.6339  5 Ce 2.89-3.16
Au  0.5000  0.5000  0.1339  5 Ce 2.89-3.16
Au  0.5000  0.5000  0.8661  5 Ce 2.89-3.16
C  0.0000  0.0000  0.0000  6 Ce 2.46-2.54
C  0.5000  0.5000  0.5000  6 Ce 2.46-2.54

The structure with the least stability is one.

one.
## Ce3AuC (PBE)

Data for a relaxed structure of Ce3AuC.

abc: 3.4975 5.0159 12.8276
angles: 90.00 97.82 90.00
With the nearest neighbours (Å) after each atom.
Atoms (fractional coordinates):
Ce  0.0738  0.2500  0.1472  2 C 2.46
Ce  0.2128  0.2500  0.4257  2 C 2.52
Ce  0.3450  0.2500  0.6918  2 C 2.53
Ce  0.6550  0.7500  0.3082  2 C 2.53
Ce  0.7872  0.7500  0.5743  2 C 2.52
Ce  0.9262  0.7500  0.8528  2 C 2.46
Au  0.4679  0.2500  0.9349  2 Au 3.01, 7 Ce 3.09-3.23
Au  0.5321  0.7500  0.0651  2 Au 3.01, 7 Ce 3.09-3.23
C  0.3585  0.7500  0.7168  6 Ce 2.46-2.53
C  0.6415  0.2500  0.2832  6 Ce 2.46-2.53

two.
## Ce3AuC (PBE)

Data for a relaxed structure of Ce3AuC.

abc: 4.9001 4.9001 4.9001
angles: 90.00 90.00 90.00
With the nearest neighbours (Å) after each atom.
Atoms (fractional coordinates):
Ce  0.0000  0.0000  0.5000  2 C 2.45
Ce  0.0000  0.5000  0.0000  2 C 2.45
Ce  0.5000  0.0000  0.0000  2 C 2.45
Au  0.5000  0.5000  0.5000  12 Ce 3.46
C  0.0000  0.0000  0.0000  6 Ce 2.45

The structure with the least stability is two.

one.
## AuCCl2 (PBE)

Data for a relaxed structure of AuCCl2.

abc: 6.5518 6.5518 6.5518
angles: 90.00 90.00 90.00
With the nearest neighbours (Å) after each atom.
Atoms (fractional coordinates):
Au  0.0000  0.0000  0.0000  8 Cl 2.84
Au  0.0000  0.5000  0.5000  8 Cl 2.84
Au  0.5000  0.0000  0.5000  8 Cl 2.84
Au  0.5000  0.5000  0.0000  8 Cl 2.84
C  0.0000  0.0000  0.5000  8 Cl 2.84
C  0.0000  0.5000  0.0000  8 Cl 2.84
C  0.5000  0.0000  0.0000  8 Cl 2.84
C  0.5000  0.5000  0.5000  8 Cl 2.84
Cl  0.2500  0.2500  0.2500  4 C 2.84, 4 Au 2.84
Cl  0.2500  0.2500  0.7500  4 C 2.84, 4 Au 2.84
Cl  0.2500  0.7500  0.2500  4 C 2.84, 4 Au 2.84
Cl  0.2500  0.7500  0.7500  4 C 2.84, 4 Au 2.84
Cl  0.7500  0.2500  0.2500  4 C 2.84, 4 Au 2.84
Cl  0.7500  0.2500  0.7500  4 C 2.84, 4 Au 2.84
Cl  0.7500  0.7500  0.2500  4 C 2.84, 4 Au 2.84
Cl  0.7500  0.7500  0.7500  4 C 2.84, 4 Au 2.84

two.
## AuCCl2 (PBE)

Data for a relaxed structure of AuCCl2.

abc: 3.1037 3.1037 31.1603
angles: 90.00 90.00 120.00
With the nearest neighbours (Å) after each atom.
Atoms (fractional coordinates):
Au  0.0000  0.0000  0.0000  6 Au 3.10
Au  0.3333  0.6667  0.6667  6 Au 3.10
Au  0.6667  0.3333  0.3333  6 Au 3.10
C  0.0000  0.0000  0.5000  6 Cl 2.26
C  0.3333  0.6667  0.1667  6 Cl 2.26
C  0.6667  0.3333  0.8333  6 Cl 2.26
Cl  0.0000  0.0000  0.1226  3 C 2.26
Cl  0.0000  0.0000  0.8774  3 C 2.26
Cl  0.3333  0.6667  0.5440  3 C 2.26
Cl  0.3333  0.6667  0.7893  3 C 2.26
Cl  0.6667  0.3333  0.2107  3 C 2.26
Cl  0.6667  0.3333  0.4560  3 C 2.26

The structure with the least stability is one.

one.
## AuCCl2 (PBE)

Data for a relaxed structure of AuCCl2.

abc: 5.2753 5.2753 12.5317
angles: 90.00 90.00 90.00
With the nearest neighbours (Å) after each atom.
Atoms (fractional coordinates):
Au  0.0000  0.0000  0.0000  4 Cl 2.65
Au  0.0000  0.5000  0.2500  4 Cl 2.65
Au  0.5000  0.0000  0.7500  4 Cl 2.65
Au  0.5000  0.5000  0.5000  4 Cl 2.65
C  0.0000  0.0000  0.5000  4 Cl 2.26
C  0.0000  0.5000  0.7500  4 Cl 2.26
C  0.5000  0.0000  0.2500  4 Cl 2.26
C  0.5000  0.5000  0.0000  4 Cl 2.26
Cl  0.1807  0.2500  0.6250  2 C 2.26
Cl  0.2500  0.6807  0.8750  2 C 2.26
Cl  0.2500  0.8193  0.3750  2 C 2.26
Cl  0.3193  0.2500  0.1250  2 C 2.26
Cl  0.6807  0.7500  0.1250  2 C 2.26
Cl  0.7500  0.1807  0.3750  2 C 2.26
Cl  0.7500  0.3193  0.8750  2 C 2.26
Cl  0.8193  0.7500  0.6250  2 C 2.26

two.
## AuCCl2 (PBE)

Data for a relaxed structure of AuCCl2.

abc: 3.0003 3.0003 28.6754
angles: 90.00 90.00 120.00
With the nearest neighbours (Å) after each atom.
Atoms (fractional coordinates):
Au  0.0000  0.0000  0.0000  6 Au 3.00
Au  0.3333  0.6667  0.6667  6 Au 3.00
Au  0.6667  0.3333  0.3333  6 Au 3.00
C  0.0000  0.0000  0.5000  2 Cl 1.59
C  0.3333  0.6667  0.1667  2 Cl 1.59
C  0.6667  0.3333  0.8333  2 Cl 1.59
Cl  0.0000  0.0000  0.4445  1 C 1.59
Cl  0.0000  0.0000  0.5555  1 C 1.59
Cl  0.3333  0.6667  0.1112  1 C 1.59
Cl  0.3333  0.6667  0.2222  1 C 1.59
Cl  0.6667  0.3333  0.7778  1 C 1.59
Cl  0.6667  0.3333  0.8888  1 C 1.59

The structure with the least stability is one.

one.
## P2AuCCl (PBE)

Data for a relaxed structure of P2AuCCl.

abc: 4.1705 4.1705 4.3412
angles: 90.00 90.00 90.00
With the nearest neighbours (Å) after each atom.
Atoms (fractional coordinates):
P  0.0000  0.5000  0.0000  2 C 2.09
P  0.5000  0.0000  0.0000  2 C 2.09
Au  0.0000  0.0000  0.5000  4 Cl 2.95, 8 P 3.01
C  0.5000  0.5000  0.0000  4 P 2.09, 2 Cl 2.17
Cl  0.5000  0.5000  0.5000  2 C 2.17

two.
## P2AuCCl (PBE)

Data for a relaxed structure of P2AuCCl.

abc: 4.8183 4.8183 5.0456
angles: 90.00 90.00 90.00
With the nearest neighbours (Å) after each atom.
Atoms (fractional coordinates):
P  0.0000  0.5000  0.0000  2 Au 2.41
P  0.5000  0.0000  0.0000  2 Au 2.41
Au  0.0000  0.0000  0.0000  4 P 2.41, 2 Cl 2.52
C  0.5000  0.5000  0.5000  4 Cl 3.41, 8 P 3.49
Cl  0.0000  0.0000  0.5000  2 Au 2.52

The structure with the least stability is two.

one.
## AuCSCl2 (PBE)

Data for a relaxed structure of AuCSCl2.

abc: 4.9518 4.9518 4.9450
angles: 90.00 90.00 90.00
With the nearest neighbours (Å) after each atom.
Atoms (fractional coordinates):
Au  0.0000  0.0000  0.0000  2 S 2.47, 4 Cl 2.48
C  0.5000  0.5000  0.5000  8 Cl 3.50, 4 S 3.50
S  0.0000  0.0000  0.5000  2 Au 2.47
Cl  0.0000  0.5000  0.0000  2 Au 2.48
Cl  0.5000  0.0000  0.0000  2 Au 2.48

two.
## AuCSCl2 (PBE)

Data for a relaxed structure of AuCSCl2.

abc: 5.2280 5.2280 3.4990
angles: 90.00 90.00 90.00
With the nearest neighbours (Å) after each atom.
Atoms (fractional coordinates):
Au  0.0000  0.0000  0.0000  8 Cl 3.15, 2 Au 3.50
C  0.5000  0.5000  0.5000  2 S 1.75
S  0.5000  0.5000  0.0000  2 C 1.75
Cl  0.0000  0.5000  0.5000  2 C 2.61
Cl  0.5000  0.0000  0.5000  2 C 2.61

The structure with the least stability is one.

one.
## AuCS2Cl (PBE)

Data for a relaxed structure of AuCS2Cl.

abc: 3.8379 3.8379 7.7449
angles: 90.00 90.00 90.00
With the nearest neighbours (Å) after each atom.
Atoms (fractional coordinates):
Au  0.0000  0.0000  0.0000  4 Cl 2.71
C  0.5000  0.5000  0.5000  4 S 1.92
S  0.0000  0.5000  0.5000  2 C 1.92
S  0.5000  0.0000  0.5000  2 C 1.92
Cl  0.5000  0.5000  0.0000  4 Au 2.71

two.
## AuCS2Cl (PBE)

Data for a relaxed structure of AuCS2Cl.

abc: 4.9007 4.9007 4.9134
angles: 90.00 90.00 90.00
With the nearest neighbours (Å) after each atom.
Atoms (fractional coordinates):
Au  0.0000  0.0000  0.0000  4 S 2.45, 2 Cl 2.46
C  0.5000  0.5000  0.5000  4 Cl 3.47, 8 S 3.47
S  0.0000  0.5000  0.0000  2 Au 2.45
S  0.5000  0.0000  0.0000  2 Au 2.45
Cl  0.0000  0.0000  0.5000  2 Au 2.46

The structure with the least stability is two.

one.
## Co3AuC (PBE)

Data for a relaxed structure of Co3AuC.

abc: 4.6655 4.6655 4.6655
angles: 90.00 90.00 90.00
With the nearest neighbours (Å) after each atom.
Atoms (fractional coordinates):
Co  0.0000  0.0000  0.5000  2 Au 2.33
Co  0.0000  0.5000  0.0000  2 Au 2.33
Co  0.5000  0.0000  0.0000  2 Au 2.33
Au  0.0000  0.0000  0.0000  6 Co 2.33
C  0.5000  0.5000  0.5000  12 Co 3.30

two.
## Co3AuC (PBE)

Data for a relaxed structure of Co3AuC.

abc: 3.8479 3.8479 3.8479
angles: 90.00 90.00 90.00
With the nearest neighbours (Å) after each atom.
Atoms (fractional coordinates):
Co  0.0000  0.0000  0.5000  2 C 1.92
Co  0.0000  0.5000  0.0000  2 C 1.92
Co  0.5000  0.0000  0.0000  2 C 1.92
Au  0.5000  0.5000  0.5000  12 Co 2.72
C  0.0000  0.0000  0.0000  6 Co 1.92

The structure with the least stability is one.

one.
## CoAu3C (PBE)

Data for a relaxed structure of CoAu3C.

abc: 4.2978 4.2978 4.2978
angles: 90.00 90.00 90.00
With the nearest neighbours (Å) after each atom.
Atoms (fractional coordinates):
Co  0.0000  0.0000  0.0000  12 Au 3.04
Au  0.0000  0.5000  0.5000  2 C 2.15
Au  0.5000  0.0000  0.5000  2 C 2.15
Au  0.5000  0.5000  0.0000  2 C 2.15
C  0.5000  0.5000  0.5000  6 Au 2.15

two.
## CoAu3C (PBE)

Data for a relaxed structure of CoAu3C.

abc: 4.7715 4.7715 4.7715
angles: 90.00 90.00 90.00
With the nearest neighbours (Å) after each atom.
Atoms (fractional coordinates):
Co  0.0000  0.0000  0.0000  6 Au 2.39
Au  0.0000  0.0000  0.5000  2 Co 2.39
Au  0.0000  0.5000  0.0000  2 Co 2.39
Au  0.5000  0.0000  0.0000  2 Co 2.39
C  0.5000  0.5000  0.5000  12 Au 3.37

The structure with the least stability is two.